## Pu2ThRuN4 (PBE-GGA)

Data for a relaxed structure of Pu2ThRuN4.

It has space group Cmcm (No. 63), with a = 3.394 Å, b = 11.738 Å, c = 11.641 Å, α = 90.00°, β = 90.00° and γ = 90.00°. The asymmetric unit holds Pu at (0.000, 0.130, 0.053), Th at (0.000, 0.389, 0.250), Ru at (0.000, 0.352, 0.750), N at (0.000, 0.043, 0.250), N at (0.000, 0.224, 0.622) and N at (0.000, 0.500, 0.000).

The volume is 464 Å³ per cell. As for the total energy: -10.822 eV/atom. The uncorrected formation energy comes out at -989 meV per atom.